1.
{
  "formula": "ScInP2",
  "functional": "PBE",
  "state": "relaxed",
  "final_energy_ev_per_atom": -5.488,
  "formation_energy_ev_per_atom": -0.52,
  "lattice_angstrom": [[3.579, 0.000, 0.000], [0.000, 3.604, 0.000], [-0.616, 0.000, 6.114]],
  "species": ["Sc", "In", "P", "P"],
  "fractional_positions": [[0.000, 0.000, 0.000], [0.000, 0.000, 0.500], [0.492, 0.500, 0.814], [0.508, 0.500, 0.186]]
}

2.
{
  "formula": "Mn3PdSe",
  "functional": "PBE",
  "state": "relaxed",
  "e_form_raw_kj_per_mol_atoms": 100,
  "relative_energy_mev_per_atom": 336.8,
  "final_energy_ev_per_atom": -6.196,
  "lattice_angstrom": [[4.271, 0.000, 0.000], [0.000, 4.271, 0.000], [0.000, 0.000, 4.271]],
  "species": ["Mn", "Mn", "Mn", "Pd", "Se"],
  "fractional_positions": [[0.000, 0.000, 0.500], [0.000, 0.500, 0.000], [0.500, 0.000, 0.000], [0.500, 0.500, 0.500], [0.000, 0.000, 0.000]]
}

3.
{
  "formula": "Tl4AgHg",
  "functional": "PBE",
  "state": "relaxed",
  "final_energy_ev_per_atom": -1.850,
  "formation_energy_ev_per_atom": 0.25,
  "lattice_angstrom": [[0.000, 4.521, 4.521], [4.521, 0.000, 4.521], [4.521, 4.521, 0.000]],
  "species": ["Tl", "Tl", "Tl", "Tl", "Ag", "Hg"],
  "fractional_positions": [[0.125, 0.125, 0.125], [0.125, 0.125, 0.626], [0.125, 0.626, 0.125], [0.626, 0.125, 0.125], [0.750, 0.750, 0.750], [0.500, 0.500, 0.500]]
}

4.
{
  "formula": "NdAl4Pt2",
  "functional": "PBE",
  "state": "relaxed",
  "relative_energy_mev_per_atom": 0.0,
  "final_energy_ev_per_atom": -5.513,
  "formation_energy_ev_per_atom": -0.97,
  "lattice_angstrom": [[17.486, 0.000, 0.000], [0.000, 4.330, 0.000], [0.000, 0.000, 6.664]],
  "species": ["Nd", "Nd", "Nd", "Nd", "Al", "Al", "Al", "Al", "Al", "Al", "Al", "Al", "Al", "Al", "Al", "Al", "Al", "Al", "Al", "Al", "Pt", "Pt", "Pt", "Pt", "Pt", "Pt", "Pt", "Pt"],
  "fractional_positions": [[0.139, 0.250, 0.011], [0.361, 0.750, 0.511], [0.639, 0.250, 0.489], [0.861, 0.750, 0.989], [0.035, 0.750, 0.837], [0.071, 0.250, 0.492], [0.186, 0.750, 0.323], [0.194, 0.750, 0.726], [0.306, 0.250, 0.226], [0.314, 0.250, 0.823], [0.429, 0.750, 0.992], [0.465, 0.250, 0.337], [0.535, 0.750, 0.663], [0.571, 0.250, 0.008], [0.686, 0.750, 0.177], [0.694, 0.750, 0.774], [0.806, 0.250, 0.274], [0.814, 0.250, 0.677], [0.929, 0.750, 0.508], [0.965, 0.250, 0.163], [0.037, 0.750, 0.248], [0.215, 0.250, 0.526], [0.285, 0.750, 0.026], [0.463, 0.250, 0.748], [0.537, 0.750, 0.252], [0.715, 0.250, 0.974], [0.785, 0.750, 0.474], [0.963, 0.250, 0.752]]
}

5.
{
  "formula": "Pu2Bi4Sb",
  "functional": "PBE",
  "state": "relaxed",
  "e_form_raw_kj_per_mol_atoms": -21,
  "final_energy_ev_per_atom": -7.119,
  "lattice_angstrom": [[0.000, 4.855, 4.881], [4.646, 0.000, 4.881], [4.646, 4.855, 0.000]],
  "species": ["Pu", "Pu", "Bi", "Bi", "Bi", "Bi", "Sb"],
  "fractional_positions": [[0.000, 0.500, 0.500], [0.500, 0.000, 0.000], [0.000, 0.000, 0.500], [0.000, 0.500, 0.000], [0.500, 0.000, 0.500], [0.500, 0.500, 0.000], [0.000, 0.000, 0.000]]
}

6.
{
  "formula": "CeEr2Tm4Sc",
  "functional": "PBE",
  "state": "relaxed",
  "final_energy_ev_per_atom": -4.856,
  "formation_energy_ev_per_atom": 0.05,
  "lattice_angstrom": [[4.903, 0.000, 0.000], [0.000, 4.903, 0.000], [0.000, 0.000, 9.795]],
  "species": ["Ce", "Er", "Er", "Tm", "Tm", "Tm", "Tm", "Sc"],
  "fractional_positions": [[0.000, 0.000, 0.000], [0.000, 0.000, 0.500], [0.500, 0.500, 0.500], [0.000, 0.500, 0.246], [0.000, 0.500, 0.754], [0.500, 0.000, 0.246], [0.500, 0.000, 0.754], [0.500, 0.500, 0.000]]
}

Sequential calculated volume output: 19.7, 15.6, 30.8, 18.0, 31.5, 29.4 Å³/atom